1.
## RbTbSnCl6 (PBE-GGA)

Data for a relaxed RbTbSnCl6 crystal.

Calculated values
- space-group type = P312
- E (eV per atom) = -4.125

Cell lengths 7.296, 7.296, 7.107 Å; angles 90.00, 90.00, 60.00 degrees
Element x y z (fractional)
Rb1 0.000 0.000 0.000
Tb1 0.333 0.333 0.500
Sn1 0.667 0.667 0.500
Cl1 0.020 0.362 0.285
Cl2 0.362 0.020 0.715
Cl3 0.619 0.362 0.715
Cl4 0.020 0.619 0.715
Cl5 0.362 0.619 0.285
Cl6 0.619 0.020 0.285

***

2.
## Ba3NaPt8 (PBE-GGA)

Data for a relaxed Ba3NaPt8 crystal.

Calculated values
- space-group type = R3m
- E (eV per atom) = -5.285

Cell lengths 5.637, 5.637, 9.739 Å; angles 73.18, 73.18, 60.00 degrees
Element x y z (fractional)
Ba1 0.376 0.376 0.872
Ba2 0.996 0.996 0.013
Ba3 0.503 0.503 0.490
Na1 0.873 0.873 0.380
Pt1 0.937 0.436 0.191
Pt2 0.440 0.938 0.683
Pt3 0.436 0.436 0.191
Pt4 0.938 0.938 0.683
Pt5 0.188 0.188 0.436
Pt6 0.688 0.688 0.937
Pt7 0.436 0.937 0.191
Pt8 0.938 0.440 0.683

***

3.
## ScFe2Mo (PBE-GGA)

Data for a relaxed ScFe2Mo crystal.

Calculated values
- space-group type = P4/mmm
- E (eV per atom) = -8.520

Cell lengths 3.002, 3.002, 6.348 Å; angles 90.00, 90.00, 90.00 degrees
Element x y z (fractional)
Fe1 0.000 0.000 0.026
Fe2 0.000 0.000 0.474
Mo1 0.500 0.500 0.250
Sc1 0.500 0.500 0.750